This record from the Alexandria database describes RbTiBBr2 after structural relaxation. The functional is PBE.

Properties
The density of states at the Fermi level is 0.706 states/eV per atom. The calculation puts the relative energy among the computed polymorphs at 0 meV/atom. For the uncorrected formation energy, the calculation gives -0.25 eV per atom.

Cell lengths 5.4740, 4.2658, 5.4740 Å; angles 90.00, 90.00, 90.00 degrees
Element x y z (fractional)
B1 0.0000 0.5000 0.0000
Ti1 0.0000 0.0000 0.0000
Br1 0.5000 0.0000 0.0000
Br2 0.0000 0.0000 0.5000
Rb1 0.5000 0.5000 0.5000


This record from the Alexandria database describes YTaCo2Cu after structural relaxation. The functional is PBE.

Properties
The density of states at the Fermi level is 2.076 states/eV per atom. Its formation energy is 10.81 eV per formula unit.

Cell lengths 4.5007, 5.0637, 4.5007 Å; angles 90.00, 90.00, 90.00 degrees
Element x y z (fractional)
Ta1 0.0000 0.5000 0.0000
Co1 0.5000 0.0000 0.0000
Co2 0.0000 0.0000 0.5000
Cu1 0.5000 0.5000 0.5000
Y1 0.0000 0.0000 0.0000


This record from the Alexandria database describes LiMn2Ga2 after structural relaxation. The functional is PBE.

Properties
The density of states at the Fermi level is 0.870 states/eV per atom. The calculation puts the relative energy among the computed polymorphs at 135 meV/atom. Its formation energy is 0.65 eV per formula unit.

Cell lengths 3.3736, 3.3736, 6.6707 Å; angles 75.35, 75.35, 90.00 degrees
Each line ends with the local moment (μB).
Element x y z (fractional)
Mn1 0.2500 0.7500 0.5000  0.41
Ga1 0.3983 0.3983 0.2033  -0.03
Mn2 0.7500 0.2500 0.5000  0.41
Li1 0.0000 0.0000 0.0000  -0.01
Ga2 0.6017 0.6017 0.7967  -0.03


This record from the Alexandria database describes RbPmPb2I8 after structural relaxation. The functional is PBE.

Properties
The density of states at the Fermi level is 0.000 states/eV per atom. For the uncorrected formation energy, the calculation gives -1.00 eV per atom.

Cell lengths 7.8888, 7.4491, 9.9018 Å; angles 89.92, 89.97, 88.94 degrees
Element x y z (fractional)
I1 0.8433 0.2514 0.2182
I2 0.6259 0.7325 0.4997
Rb1 0.0000 0.0000 0.5000
I3 0.6710 0.7607 0.9998
Pb1 0.5000 0.5002 0.2512
Pb2 0.5000 0.4998 0.7488
I4 0.1559 0.7479 0.2185
I5 0.3290 0.2393 0.0002
I6 0.3741 0.2675 0.5003
Pm1 0.0000 0.0000 0.0000
I7 0.8441 0.2521 0.7815
I8 0.1567 0.7486 0.7818


This record from the Alexandria database describes TiVCo after structural relaxation. The functional is PBE.

Properties
The density of states at the Fermi level is 0.596 states/eV per atom. The calculation puts the relative energy among the computed polymorphs at 52 meV/atom. Its formation energy is -0.56 eV per formula unit.

Cell lengths 2.9218, 2.9218, 5.1408 Å; angles 106.51, 106.51, 90.00 degrees
Each line ends with the local moment (μB).
Element x y z (fractional)
V1 0.0104 0.0104 0.0209  -0.03
Co1 0.6603 0.6603 0.3207  0.74
Ti1 0.3292 0.3292 0.6584  -0.05


This record from the Alexandria database describes Ho6TlSb2Te3 after structural relaxation. The functional is PBE.

Properties
The density of states at the Fermi level is 0.270 states/eV per atom. For the uncorrected formation energy, the calculation gives -1.08 eV per atom.

Cell lengths 4.3251, 8.8104, 9.7713 Å; angles 102.96, 102.79, 90.00 degrees
Element x y z (fractional)
Ho1 0.3378 0.9126 0.6756
Te1 0.8309 0.1672 0.6619
Sb1 0.1665 0.3341 0.3331
Te2 0.1691 0.8328 0.3381
Ho2 0.6622 0.0874 0.3244
Ho3 0.9988 0.7573 0.9976
Tl1 0.5000 0.0000 0.0000
Sb2 0.8335 0.6659 0.6669
Ho4 0.3303 0.4228 0.6605
Ho5 0.6697 0.5772 0.3395
Te3 0.5000 0.5000 0.0000
Ho6 0.0012 0.2427 0.0024


This record from the Alexandria database describes Ba4Cd3Hg after structural relaxation. The functional is PBE.

Properties
The density of states at the Fermi level is 0.810 states/eV per atom. Its formation energy is -2.96 eV per formula unit.

Cell lengths 4.2396, 4.2396, 17.0470 Å; angles 90.00, 90.00, 90.00 degrees
Element x y z (fractional)
Ba1 0.0000 0.0000 0.8779
Hg1 0.5000 0.5000 0.0000
Cd1 0.5000 0.5000 0.7507
Ba2 0.0000 0.0000 0.6257
Ba3 0.0000 0.0000 0.3743
Cd2 0.5000 0.5000 0.5000
Cd3 0.5000 0.5000 0.2493
Ba4 0.0000 0.0000 0.1221


This record from the Alexandria database describes RbAlInSb2 after structural relaxation. The functional is PBE.

Properties
For the uncorrected formation energy, the calculation gives -0.23 eV per atom.

Cell lengths 4.5246, 9.1006, 9.8885 Å; angles 78.53, 76.77, 75.61 degrees
Element x y z (fractional)
Rb1 0.8320 0.7567 0.5793
Sb1 0.7840 0.3138 0.1181
Al1 0.0656 0.0046 0.8642
Rb2 0.1680 0.2433 0.4207
Sb2 0.2160 0.6862 0.8819
Sb3 0.4306 0.8661 0.2727
In1 0.6349 0.6620 0.0681
In2 0.3651 0.3380 0.9319
Sb4 0.5694 0.1339 0.7273
Al2 0.9344 0.9954 0.1358


This record from the Alexandria database describes ZrPa2P3 after structural relaxation. The functional is PBE.

Properties
The density of states at the Fermi level is 1.046 states/eV per atom. Its formation energy is -7.91 eV per formula unit.

Cell lengths 3.9159, 3.9159, 8.6775 Å; angles 103.05, 103.05, 90.01 degrees
Element x y z (fractional)
Pa1 0.7685 0.7698 0.5423
Zr1 0.4341 0.4359 0.8740
P1 0.9341 0.9359 0.8740
P2 0.2719 0.2731 0.5492
P3 0.5967 0.5980 0.1987
Pa2 0.1001 0.1014 0.2057


This record from the Alexandria database describes K3TcN4 after structural relaxation. The functional is PBE.

Properties
For the uncorrected formation energy, the calculation gives -0.08 eV per atom.

Cell lengths 5.7095, 6.3231, 6.3231 Å; angles 68.58, 64.03, 64.03 degrees
Element x y z (fractional)
N1 0.3796 0.3044 0.7294
N2 0.3268 0.8620 0.4914
K1 0.0000 0.0479 0.9521
N3 0.6204 0.2706 0.6956
K2 0.7822 0.7683 0.6798
N4 0.6732 0.5086 0.1380
K3 0.2178 0.3202 0.2317
Tc1 0.5000 0.5691 0.4309


This record from the Alexandria database describes BaGe2Bi after structural relaxation. The functional is PBE.

Properties
The density of states at the Fermi level is 0.843 states/eV per atom. The calculation puts the relative energy among the computed polymorphs at 13 meV/atom. Its formation energy is -0.30 eV per formula unit.

Cell lengths 5.4774, 5.4774, 5.4774 Å; angles 60.00, 60.00, 60.00 degrees
Element x y z (fractional)
Bi1 0.5000 0.5000 0.5000
Ba1 0.0000 0.0000 0.0000
Ge1 0.2500 0.2500 0.2500
Ge2 0.7500 0.7500 0.7500


This record from the Alexandria database describes Ni2IrOs after structural relaxation. The functional is PBE.

Properties
The density of states at the Fermi level is 0.836 states/eV per atom. The calculation puts the relative energy among the computed polymorphs at 15 meV/atom. Its formation energy is 0.13 eV per formula unit.

Cell lengths 4.5671, 4.5671, 4.4531 Å; angles 80.25, 80.25, 33.94 degrees
Element x y z (fractional)
Ni1 0.0011 0.0011 0.9869
Ni2 0.7495 0.7495 0.7594
Ir1 0.2495 0.2495 0.2582
Os1 0.4999 0.4999 0.4955